[1]
Here is an optimized crystal structure of Pm4AsP2Cl from the Alexandria database. Energies are from PBE.

Cell and atoms, written as POSCAR:
```
Pm4AsP2Cl
1.0
-2.925 2.925 5.869
2.925 -2.925 5.869
2.925 2.925 -5.869
Pm As P Cl
4 1 2 1
direct
0.000 0.500 0.500 Pm
0.242 0.242 0.000 Pm
0.500 0.000 0.500 Pm
0.758 0.758 0.000 Pm
0.000 0.000 0.000 As
0.250 0.750 0.500 P
0.750 0.250 0.500 P
0.500 0.500 0.000 Cl
```

The total energy comes out at -6.1242 eV/atom. The space group is I4/mmm, No. 139.



[2]
Here is an optimized crystal structure of Ce6MnSn2N from the Alexandria database. Energies are from PBE.

Cell and atoms, written as POSCAR:
```
Ce6MnSn2N
1.0
-3.479 3.479 5.186
3.479 -3.479 5.186
3.479 3.479 -5.186
Ce Mn Sn N
6 1 2 1
direct
0.231 0.231 0.000 Ce
0.249 0.249 0.497 Ce
0.249 0.751 0.000 Ce
0.751 0.249 0.000 Ce
0.751 0.751 0.503 Ce
0.769 0.769 0.000 Ce
0.500 0.500 0.000 Mn
0.250 0.750 0.500 Sn
0.750 0.250 0.500 Sn
0.000 0.000 0.000 N
```

The total energy comes out at -6.6247 eV/atom. The space group is I4/mmm, No. 139.



[3]
Here is an optimized crystal structure of NaReI3 from the Alexandria database. Energies are from PBE.

Cell and atoms, written as POSCAR:
```
NaReI3
1.0
5.650 0.000 0.000
0.000 5.650 0.000
0.000 0.000 5.650
Na Re I
1 1 3
direct
0.000 0.000 0.000 Na
0.500 0.500 0.500 Re
0.000 0.500 0.500 I
0.500 0.000 0.500 I
0.500 0.500 0.000 I
```

The excess energy over the best structure of this formula in the dataset comes out at 0.000 eV/atom. The total energy comes out at -3.4672 eV/atom. The space group is Pm-3m, No. 221.



[4]
Here is an optimized crystal structure of LaMoOs from the Alexandria database. Energies are from PBE.

Cell and atoms, written as POSCAR:
```
LaMoOs
1.0
0.000 3.200 3.200
3.200 0.000 3.200
3.200 3.200 0.000
La Mo Os
1 1 1
direct
0.000 0.000 0.000 La
0.750 0.750 0.750 Mo
0.500 0.500 0.500 Os
```

The excess energy over the best structure of this formula in the dataset comes out at 0.479 eV/atom. The total energy comes out at -8.3044 eV/atom. The space group is F-43m, No. 216.



[5]
Here is an optimized crystal structure of LaReW2 from the Alexandria database. Energies are from PBE.

Cell and atoms, written as POSCAR:
```
LaReW2
1.0
-1.560 2.533 4.846
1.560 -2.533 4.846
1.560 2.533 -4.846
La Re W
1 1 2
direct
0.000 0.000 0.000 La
0.500 0.500 0.000 Re
0.273 0.773 0.500 W
0.727 0.227 0.500 W
```

The excess energy over the best structure of this formula in the dataset comes out at 0.271 eV/atom. The total energy comes out at -10.1183 eV/atom. The space group is Immm, No. 71.



[6]
Here is an optimized crystal structure of Cu2PSe4 from the Alexandria database. Energies are from PBE.

Cell and atoms, written as POSCAR:
```
Cu2PSe4
1.0
6.221 0.000 0.000
0.000 6.221 0.000
0.000 0.000 4.921
Cu P Se
2 1 4
direct
0.000 0.500 0.000 Cu
0.500 0.000 0.000 Cu
0.000 0.000 0.000 P
0.222 0.222 0.222 Se
0.222 0.778 0.778 Se
0.778 0.222 0.778 Se
0.778 0.778 0.222 Se
```

The excess energy over the best structure of this formula in the dataset comes out at 0.099 eV/atom. The total energy comes out at -3.9560 eV/atom. The space group is P-42m, No. 111.



[7]
Here is an optimized crystal structure of TbPm4Sn2 from the Alexandria database. Energies are from PBE.

Cell and atoms, written as POSCAR:
```
TbPm4Sn2
1.0
2.626 1.516 10.225
-2.626 1.516 10.225
0.000 -3.033 10.225
Tb Pm Sn
1 4 2
direct
0.000 0.000 0.000 Tb
0.206 0.206 0.206 Pm
0.387 0.387 0.387 Pm
0.613 0.613 0.613 Pm
0.794 0.794 0.794 Pm
0.101 0.101 0.101 Sn
0.899 0.899 0.899 Sn
```

The total energy comes out at -4.7595 eV/atom. The space group is R-3m, No. 166.



[8]
Here is an optimized crystal structure of LaHSe from the Alexandria database. Energies are from PBE.

Cell and atoms, written as POSCAR:
```
LaHSe
1.0
2.032 1.173 4.171
-2.032 1.173 4.171
0.000 -2.347 4.171
La H Se
1 1 1
direct
0.000 0.000 0.000 La
0.696 0.696 0.696 H
0.490 0.490 0.490 Se
```

The total energy comes out at -5.2356 eV/atom. The space group is R3m, No. 160.



[9]
Here is an optimized crystal structure of NdTm7Sc3 from the Alexandria database. Energies are from PBE.

Cell and atoms, written as POSCAR:
```
NdTm7Sc3
1.0
8.970 -3.342 0.000
8.970 3.342 0.000
0.000 0.000 10.810
Nd Tm Sc
2 14 6
direct
0.000 0.000 0.000 Nd
0.000 0.000 0.500 Nd
0.091 0.583 0.538 Tm
0.091 0.583 0.962 Tm
0.163 0.652 0.250 Tm
0.283 0.717 0.750 Tm
0.348 0.837 0.250 Tm
0.417 0.909 0.538 Tm
0.417 0.909 0.962 Tm
0.583 0.091 0.038 Tm
0.583 0.091 0.462 Tm
0.652 0.163 0.750 Tm
0.717 0.283 0.250 Tm
0.837 0.348 0.750 Tm
0.909 0.417 0.038 Tm
0.909 0.417 0.462 Tm
0.247 0.249 0.250 Sc
0.249 0.247 0.750 Sc
0.500 0.500 0.000 Sc
0.500 0.500 0.500 Sc
0.751 0.753 0.250 Sc
0.753 0.751 0.750 Sc
```

The excess energy over the best structure of this formula in the dataset comes out at 0.000 eV/atom. The total energy comes out at -4.8422 eV/atom. The space group is Cmcm, No. 63.



[10]
Here is an optimized crystal structure of BaLaHf2Br from the Alexandria database. Energies are from PBE.

Cell and atoms, written as POSCAR:
```
BaLaHf2Br
1.0
5.380 0.000 0.000
0.000 5.380 0.000
0.000 0.000 6.092
Ba La Hf Br
1 1 2 1
direct
0.000 0.000 0.000 Ba
0.500 0.500 0.500 La
0.000 0.500 0.000 Hf
0.500 0.000 0.000 Hf
0.000 0.000 0.500 Br
```

The total energy comes out at -4.4792 eV/atom. The space group is P4/mmm, No. 123.



[11]
Here is an optimized crystal structure of Pr2InGa from the Alexandria database. Energies are from PBE.

Cell and atoms, written as POSCAR:
```
Pr2InGa
1.0
0.000 3.822 3.822
3.822 0.000 3.822
3.822 3.822 0.000
Pr In Ga
2 1 1
direct
0.250 0.250 0.250 Pr
0.750 0.750 0.750 Pr
0.000 0.000 0.000 In
0.500 0.500 0.500 Ga
```

The excess energy over the best structure of this formula in the dataset comes out at 0.020 eV/atom. The total energy comes out at -4.3262 eV/atom. The space group is Fm-3m, No. 225.



[12]
Here is an optimized crystal structure of TiSnN2 from the Alexandria database. Energies are from PBE.

Cell and atoms, written as POSCAR:
```
TiSnN2
1.0
1.552 0.896 6.381
-1.552 0.896 6.381
0.000 -1.792 6.381
Ti Sn N
1 1 2
direct
0.000 0.000 0.000 Ti
0.500 0.500 0.500 Sn
0.389 0.389 0.389 N
0.611 0.611 0.611 N
```

The total energy comes out at -7.6645 eV/atom. The space group is R-3m, No. 166.



Please write out number 6 again, unchanged.
Here is an optimized crystal structure of Cu2PSe4 from the Alexandria database. Energies are from PBE.

Cell and atoms, written as POSCAR:
```
Cu2PSe4
1.0
6.221 0.000 0.000
0.000 6.221 0.000
0.000 0.000 4.921
Cu P Se
2 1 4
direct
0.000 0.500 0.000 Cu
0.500 0.000 0.000 Cu
0.000 0.000 0.000 P
0.222 0.222 0.222 Se
0.222 0.778 0.778 Se
0.778 0.222 0.778 Se
0.778 0.778 0.222 Se
```

The excess energy over the best structure of this formula in the dataset comes out at 0.099 eV/atom. The total energy comes out at -3.9560 eV/atom. The space group is P-42m, No. 111.